The following is a DFT calculation (PBE) of a relaxed CaPu2As2 crystal.

Computed properties:
Formation energy from the elements ... -0.68 eV per atom
Total magnetic moment ... 22.6 Bohr magnetons per cell
VASP energy ... -86.73 eV/cell

Lattice parameters (Å, degrees): 4.240 4.240 13.981 90.00 90.00 90.00
Space group I4/mmm (No. 139)
Inequivalent atoms, fractional coordinates:
Ca (0.000, 0.000, 0.000)
Pu (0.000, 0.500, 0.250)
As (0.000, 0.000, 0.398)

The following is a DFT calculation (PBE) of a relaxed GaAg2HgBr crystal.

Computed properties:
Uncorrected formation energy ... 0.474 eV/atom
Total magnetic moment ... 0.0 Bohr magnetons per cell
VASP energy ... -8.33 eV/cell

Lattice parameters (Å, degrees): 5.236 5.236 5.953 90.00 90.00 90.00
Space group P4/mmm (No. 123)
Inequivalent atoms, fractional coordinates:
Ga (0.000, 0.000, 0.000)
Ag (0.000, 0.500, 0.500)
Hg (0.500, 0.500, 0.000)
Br (0.000, 0.000, 0.500)

The following is a DFT calculation (PBE) of a relaxed Sn2SbPtW crystal.

Computed properties:
Uncorrected formation energy ... 1.849 eV/atom
Total magnetic moment ... 0.2 Bohr magnetons per cell
VASP energy ... -21.88 eV/cell

Lattice parameters (Å, degrees): 5.509 5.509 4.841 90.00 90.00 90.00
Space group P4/mmm (No. 123)
Inequivalent atoms, fractional coordinates:
Sn (0.000, 0.500, 0.000)
Sb (0.000, 0.000, 0.000)
Pt (0.000, 0.000, 0.500)
W (0.500, 0.500, 0.500)

The following is a DFT calculation (PBE) of a relaxed BeBiHPbN crystal.

Computed properties:
Total magnetic moment ... 0.0 Bohr magnetons per cell
VASP energy ... -42.25 eV/cell

Lattice parameters (Å, degrees): 9.890 3.552 5.514 90.00 106.11 90.00
Space group Cm (No. 8)
Inequivalent atoms, fractional coordinates:
Be (0.000, 0.000, 0.000)
Bi (0.301, 0.000, 0.326)
H (0.462, 0.500, 0.727)
Pb (0.163, 0.500, 0.803)
N (0.388, 0.500, 0.154)

The following is a DFT calculation (PBE) of a relaxed Cs2TlPd crystal.

Computed properties:
Formation energy from the elements ... -0.10 eV per atom
Total magnetic moment ... 0.0 Bohr magnetons per cell
VASP energy ... -19.33 eV/cell

Lattice parameters (Å, degrees): 8.436 4.866 10.452 90.00 105.01 90.00
Space group Cm (No. 8)
Inequivalent atoms, fractional coordinates:
Cs (0.000, 0.000, 0.000)
Cs (0.166, 0.000, 0.520)
Tl (0.250, 0.500, 0.260)
Pd (0.417, 0.000, 0.260)

The following is a DFT calculation (PBE) of a relaxed MnCoPb2 crystal.

Computed properties:
Formation energy from the elements ... 0.80 eV per atom
Total magnetic moment ... 0.0 Bohr magnetons per cell
VASP energy ... -82.01 eV/cell

Lattice parameters (Å, degrees): 6.547 6.547 6.547 90.00 90.00 90.00
Space group Fm-3m (No. 225)
Inequivalent atoms, fractional coordinates:
Mn (0.000, 0.000, 0.000)
Co (0.000, 0.000, 0.500)
Pb (0.250, 0.250, 0.250)